Record 1
4
Lattice="-2.016 2.016 4.062 2.016 -2.016 4.062 2.016 2.016 -4.062" Properties=species:S:1:pos:R:3 comment="CdInIr2, single point on PBEsol structure, DFT SCAN" vol_a3_per_atom=16.51 density_g_cm3=15.385 ef_mev_per_atom=268 pbc="T T T"
Cd 0.000 0.000 0.000
In 0.000 2.016 2.031
Ir 2.016 0.000 2.031
Ir 0.000 0.000 4.062

=====

Record 2
4
Lattice="1.703 0.983 10.642 -1.703 0.983 10.642 0.000 -1.966 10.642" Properties=species:S:1:pos:R:3 comment="KCd2In, single point on PBEsol structure, DFT SCAN" vol_a3_per_atom=26.72 density_g_cm3=5.885 ef_mev_per_atom=85 pbc="T T T"
K 0.000 0.000 0.000
Cd 0.000 0.000 7.712
Cd 0.000 0.000 16.038
In 0.000 0.000 24.283

=====

The following raw total energy values (in Ry/atom) correspond, in order, to the records above: -3.7654, -1.8779.